The following is a DFT calculation (PBE-GGA) of crystalline Tl4BiPd15 at its relaxed geometry.

Computed properties:
Space group = P4/mmm
ρ = 12.68 Mg/m³
ΔH_f (0 K) = -0.209 eV per atom

a b c (Å): 4.082 4.082 20.608
angles (deg): 90.00 90.00 90.00
Fractional coordinates of all 20 atoms:
Tl1 0.000 0.000 0.203
Tl2 0.000 0.000 0.401
Tl3 0.000 0.000 0.599
Tl4 0.000 0.000 0.797
Bi1 0.000 0.000 0.000
Pd1 0.500 0.500 0.000
Pd2 0.500 0.500 0.199
Pd3 0.500 0.500 0.400
Pd4 0.500 0.500 0.600
Pd5 0.500 0.500 0.801
Pd6 0.500 0.000 0.101
Pd7 0.500 0.000 0.301
Pd8 0.500 0.000 0.500
Pd9 0.500 0.000 0.699
Pd10 0.500 0.000 0.899
Pd11 0.000 0.500 0.101
Pd12 0.000 0.500 0.301
Pd13 0.000 0.500 0.500
Pd14 0.000 0.500 0.699
Pd15 0.000 0.500 0.899

***

The following is a DFT calculation (PBE-GGA) of crystalline BC2 at its relaxed geometry.

Computed properties:
Space group = Cm
ρ = 2.99 Mg/m³
ΔH_f (0 K) = 0.305 eV per atom
ΔE to the lowest computed polymorph = 0.065 eV per atom

a b c (Å): 6.059 6.059 5.154
angles (deg): 102.10 102.10 24.73
Fractional coordinates of all 12 atoms:
B1 0.001 0.001 0.000
B2 0.349 0.349 0.129
B3 0.236 0.236 0.408
B4 0.998 0.998 0.504
C1 0.914 0.914 0.210
C2 0.908 0.908 0.701
C3 0.662 0.662 0.329
C4 0.590 0.590 0.548
C5 0.336 0.336 0.674
C6 0.246 0.246 0.869
C7 0.668 0.668 0.834
C8 0.592 0.592 0.043

***

The following is a DFT calculation (PBE-GGA) of crystalline Li2FeCu at its relaxed geometry.

Computed properties:
Space group = I4/mmm
ρ = 4.21 Mg/m³
ΔH_f (0 K) = 0.264 eV per atom

a b c (Å): 4.902 4.902 4.902
angles (deg): 137.81 137.81 61.20
Last column: magnetic moment on the atom in μB.
Fractional coordinates of all 4 atoms:
Cu1 0.250 0.750 0.500  0.12
Fe1 0.750 0.250 0.500  2.68
Li1 0.000 0.000 0.000  -0.04
Li2 0.500 0.500 0.000  -0.04